A relaxed Cs3Sb4 crystal. Source: the Alexandria database, functional PBE-GGA.

Structure (extended XYZ):
```
7
Lattice="4.538 0.000 0.000 0.000 6.136 0.000 -2.269 -3.068 12.136" Properties=species:S:1:pos:R:3 pbc="T T T"
Cs 2.269 0.000 0.000
Cs 2.269 3.068 7.698
Cs 0.000 0.000 4.438
Sb 2.269 0.000 10.374
Sb 0.000 3.068 1.762
Sb 0.000 0.000 8.570
Sb 2.269 3.068 3.566
```

Calculated values
The total energy comes out at -21.59 eV per formula unit. The calculation puts the formation energy from raw total energies at -2.5 eV/f.u.